# Mg2MoPt PBE relaxed
# ΔE_f   -0.04 eV/atom
# Density of states at the Fermi level   15.82 states/eV per cell
data_Mg2MoPt
_chemical_formula_sum 'Mg6 Mo3 Pt3'
_symmetry_space_group_name_H-M 'R -3 m'
_symmetry_Int_Tables_number 166
_symmetry_space_group_name_Hall '-R 3 2"'
_cell_length_a 2.8944
_cell_length_b 2.8944
_cell_length_c 27.7881
_cell_angle_alpha 90.00
_cell_angle_beta 90.00
_cell_angle_gamma 120.00
loop_
_atom_site_label
_atom_site_type_symbol
_atom_site_fract_x
_atom_site_fract_y
_atom_site_fract_z
Mg1 Mg 0.0000 0.0000 0.2459
Mo1 Mo 0.0000 0.0000 0.0000
Pt1 Pt 0.0000 0.0000 0.5000


# Pm4Rh2F PBE relaxed
# Formation energy without anion corrections   -1.0456 eV per atom
# Density of states at the Fermi level   10.67 states/eV per cell
data_Pm4Rh2F
_chemical_formula_sum 'Pm8 Rh4 F2'
_symmetry_space_group_name_H-M 'I 4/m m m'
_symmetry_Int_Tables_number 139
_symmetry_space_group_name_Hall '-I 4 2'
_cell_length_a 4.844
_cell_length_b 4.844
_cell_length_c 14.535
_cell_angle_alpha 90.00
_cell_angle_beta 90.00
_cell_angle_gamma 90.00
loop_
_atom_site_label
_atom_site_type_symbol
_atom_site_fract_x
_atom_site_fract_y
_atom_site_fract_z
Pm1 Pm 0.000 0.000 0.195
Pm2 Pm 0.000 0.500 0.000
Rh1 Rh 0.000 0.000 0.379
F1 F 0.000 0.000 0.000


# K3Li3MgBr8 PBE relaxed
# Formation energy without anion corrections   -1.5753 eV per atom
# Density of states at the Fermi level   0.00 states/eV per cell
data_K3Li3MgBr8
_chemical_formula_sum 'K6 Li6 Mg2 Br16'
_symmetry_space_group_name_H-M 'C 1 2/m 1'
_symmetry_Int_Tables_number 12
_cell_length_a 14.254
_cell_length_b 8.210
_cell_length_c 8.910
_cell_angle_alpha 90.00
_cell_angle_beta 122.24
_cell_angle_gamma 90.00
loop_
_symmetry_equiv_pos_as_xyz
'x,y,z'
'-x,-y,-z'
'-x,y,-z'
'x,-y,z'
'x+1/2,y+1/2,z'
'-x+1/2,-y+1/2,-z'
'-x+1/2,y+1/2,-z'
'x+1/2,-y+1/2,z'
loop_
_atom_site_label
_atom_site_type_symbol
_atom_site_fract_x
_atom_site_fract_y
_atom_site_fract_z
K1 K 0.000 0.000 0.000
K2 K 0.250 0.250 0.000
Li1 Li 0.000 0.500 0.500
Li2 Li 0.250 0.250 0.500
Mg1 Mg 0.000 0.000 0.500
Br1 Br 0.014 0.242 0.302
Br2 Br 0.227 0.000 0.697
Br3 Br 0.235 0.500 0.703


# CdRh2 PBE relaxed
# ΔE_f   0.36 eV/atom
# Density of states at the Fermi level   14.29 states/eV per cell
data_CdRh2
_chemical_formula_sum 'Cd4 Rh8'
_symmetry_space_group_name_H-M 'I 41/a m d'
_symmetry_Int_Tables_number 141
_cell_length_a 3.707
_cell_length_b 3.707
_cell_length_c 16.138
_cell_angle_alpha 90.00
_cell_angle_beta 90.00
_cell_angle_gamma 90.00
loop_
_symmetry_equiv_pos_as_xyz
'x,y,z'
'-x,-y,-z'
'-y+1/4,x+3/4,z+1/4'
'y+1/4,-x+3/4,-z+1/4'
'-x+1/2,-y,z+1/2'
'x+1/2,y,-z+1/2'
'y+1/4,-x+1/4,z+3/4'
'-y+1/4,x+1/4,-z+3/4'
'x,-y,-z'
'-x,y,z'
'-y+1/4,-x+1/4,-z+3/4'
'y+1/4,x+1/4,z+3/4'
'-x+1/2,y,-z+1/2'
'x+1/2,-y,z+1/2'
'y+1/4,x+3/4,-z+1/4'
'-y+1/4,-x+3/4,z+1/4'
'x+1/2,y+1/2,z+1/2'
'-x+1/2,-y+1/2,-z+1/2'
'-y+3/4,x+1/4,z+3/4'
'y+3/4,-x+1/4,-z+3/4'
'-x,-y+1/2,z'
'x,y+1/2,-z'
'y+3/4,-x+3/4,z+1/4'
'-y+3/4,x+3/4,-z+1/4'
'x+1/2,-y+1/2,-z+1/2'
'-x+1/2,y+1/2,z+1/2'
'-y+3/4,-x+3/4,-z+1/4'
'y+3/4,x+3/4,z+1/4'
'-x,y+1/2,-z'
'x,-y+1/2,z'
'y+3/4,x+1/4,-z+3/4'
'-y+3/4,-x+1/4,z+3/4'
loop_
_atom_site_label
_atom_site_type_symbol
_atom_site_fract_x
_atom_site_fract_y
_atom_site_fract_z
Cd1 Cd 0.000 0.250 0.375
Rh1 Rh 0.000 0.250 0.800


# Ca2InPb2 PBE relaxed
# ΔE_f   -0.39 eV/atom
# Density of states at the Fermi level   5.18 states/eV per cell
data_Ca2InPb2
_chemical_formula_sum 'Ca4 In2 Pb4'
_symmetry_space_group_name_H-M 'P 4/m b m'
_symmetry_Int_Tables_number 127
_symmetry_space_group_name_Hall '-P 4 2ab'
_cell_length_a 8.047
_cell_length_b 8.047
_cell_length_c 4.803
_cell_angle_alpha 90.00
_cell_angle_beta 90.00
_cell_angle_gamma 90.00
loop_
_atom_site_label
_atom_site_type_symbol
_atom_site_fract_x
_atom_site_fract_y
_atom_site_fract_z
Ca1 Ca 0.167 0.333 0.000
In1 In 0.000 0.000 0.500
Pb1 Pb 0.138 0.638 0.500


# LaFeW2 PBE relaxed
# ΔE_f   0.62 eV/atom
# Density of states at the Fermi level   8.24 states/eV per cell
data_LaFeW2
_chemical_formula_sum 'La2 Fe2 W4'
_symmetry_space_group_name_H-M 'C 1 2/m 1'
_symmetry_Int_Tables_number 12
_cell_length_a 11.031
_cell_length_b 2.832
_cell_length_c 4.833
_cell_angle_alpha 90.00
_cell_angle_beta 106.51
_cell_angle_gamma 90.00
loop_
_symmetry_equiv_pos_as_xyz
'x,y,z'
'-x,-y,-z'
'-x,y,-z'
'x,-y,z'
'x+1/2,y+1/2,z'
'-x+1/2,-y+1/2,-z'
'-x+1/2,y+1/2,-z'
'x+1/2,-y+1/2,z'
loop_
_atom_site_label
_atom_site_type_symbol
_atom_site_fract_x
_atom_site_fract_y
_atom_site_fract_z
La1 La 0.000 0.000 0.000
Fe1 Fe 0.000 0.500 0.500
W1 W 0.205 0.000 0.703


# Ta3Be4TlO12 PBE relaxed
# Formation energy without anion corrections   -2.5773 eV per atom
# Density of states at the Fermi level   0.00 states/eV per cell
data_Ta3Be4TlO12
_chemical_formula_sum 'Ta9 Be12 Tl3 O36'
_symmetry_space_group_name_H-M 'R 3 2'
_symmetry_Int_Tables_number 155
_symmetry_space_group_name_Hall 'R 3 2"'
_cell_length_a 10.2406
_cell_length_b 10.2406
_cell_length_c 7.9211
_cell_angle_alpha 90.00
_cell_angle_beta 90.00
_cell_angle_gamma 120.00
loop_
_atom_site_label
_atom_site_type_symbol
_atom_site_fract_x
_atom_site_fract_y
_atom_site_fract_z
Ta1 Ta 0.0000 0.5502 0.0000
Be1 Be 0.0000 0.0000 0.5000
Be2 Be 0.0000 0.4473 0.5000
Tl1 Tl 0.0000 0.0000 0.0000
O1 O 0.0000 0.5987 0.5000
O2 O 0.0000 0.8456 0.5000
O3 O 0.0365 0.2261 0.2111


# Tc2SbCl PBE relaxed
# Formation energy without anion corrections   0.4992 eV per atom
# Density of states at the Fermi level   7.05 states/eV per cell
data_Tc2SbCl
_chemical_formula_sum 'Tc4 Sb2 Cl2'
_symmetry_space_group_name_H-M 'C 1 2/m 1'
_symmetry_Int_Tables_number 12
_cell_length_a 8.247
_cell_length_b 3.040
_cell_length_c 5.532
_cell_angle_alpha 90.00
_cell_angle_beta 103.24
_cell_angle_gamma 90.00
loop_
_symmetry_equiv_pos_as_xyz
'x,y,z'
'-x,-y,-z'
'-x,y,-z'
'x,-y,z'
'x+1/2,y+1/2,z'
'-x+1/2,-y+1/2,-z'
'-x+1/2,y+1/2,-z'
'x+1/2,-y+1/2,z'
loop_
_atom_site_label
_atom_site_type_symbol
_atom_site_fract_x
_atom_site_fract_y
_atom_site_fract_z
Tc1 Tc 0.247 0.000 0.291
Sb1 Sb 0.000 0.500 0.000
Cl1 Cl 0.000 0.000 0.500


# Ce3ErH PBE relaxed
# Calculated total energy   -5.212 eV/atom
# Density of states at the Fermi level   11.25 states/eV per cell
data_Ce3ErH
_chemical_formula_sum 'Ce3 Er1 H1'
_symmetry_space_group_name_H-M 'P m -3 m'
_symmetry_Int_Tables_number 221
_symmetry_space_group_name_Hall '-P 4 2 3'
_cell_length_a 4.962
_cell_length_b 4.962
_cell_length_c 4.962
_cell_angle_alpha 90.00
_cell_angle_beta 90.00
_cell_angle_gamma 90.00
loop_
_atom_site_label
_atom_site_type_symbol
_atom_site_fract_x
_atom_site_fract_y
_atom_site_fract_z
Ce1 Ce 0.000 0.000 0.500
Er1 Er 0.500 0.500 0.500
H1 H 0.000 0.000 0.000


# Li3CaBi PBE relaxed
# ΔE_f   -0.35 eV/atom
# Density of states at the Fermi level   5.35 states/eV per cell
data_Li3CaBi
_chemical_formula_sum 'Li12 Ca4 Bi4'
_symmetry_space_group_name_H-M 'P 1 21/c 1'
_symmetry_Int_Tables_number 14
_cell_length_a 7.906
_cell_length_b 7.358
_cell_length_c 9.395
_cell_angle_alpha 90.00
_cell_angle_beta 109.98
_cell_angle_gamma 90.00
loop_
_symmetry_equiv_pos_as_xyz
'x,y,z'
'-x,-y,-z'
'-x,y+1/2,-z+1/2'
'x,-y+1/2,z+1/2'
loop_
_atom_site_label
_atom_site_type_symbol
_atom_site_fract_x
_atom_site_fract_y
_atom_site_fract_z
Li1 Li 0.025 0.195 0.005
Li2 Li 0.298 0.005 0.343
Li3 Li 0.388 0.684 0.596
Ca1 Ca 0.215 0.001 0.770
Bi1 Bi 0.397 0.225 0.097


# KAsCl2 PBE relaxed
# Formation energy without anion corrections   -0.7689 eV per atom
# Density of states at the Fermi level   3.01 states/eV per cell
data_KAsCl2
_chemical_formula_sum 'K3 As3 Cl6'
_symmetry_space_group_name_H-M 'R -3 m'
_symmetry_Int_Tables_number 166
_symmetry_space_group_name_Hall '-R 3 2"'
_cell_length_a 3.8456
_cell_length_b 3.8456
_cell_length_c 27.1299
_cell_angle_alpha 90.00
_cell_angle_beta 90.00
_cell_angle_gamma 120.00
loop_
_atom_site_label
_atom_site_type_symbol
_atom_site_fract_x
_atom_site_fract_y
_atom_site_fract_z
K1 K 0.0000 0.0000 0.0000
As1 As 0.0000 0.0000 0.5000
Cl1 Cl 0.0000 0.0000 0.4090


# Nb3Os7 PBE relaxed
# ΔE_f   -0.08 eV/atom
# Density of states at the Fermi level   21.17 states/eV per cell
data_Nb3Os7
_chemical_formula_sum 'Nb6 Os14'
_symmetry_space_group_name_H-M 'C 1 2/m 1'
_symmetry_Int_Tables_number 12
_cell_length_a 14.350
_cell_length_b 3.943
_cell_length_c 5.569
_cell_angle_alpha 90.00
_cell_angle_beta 101.68
_cell_angle_gamma 90.00
loop_
_symmetry_equiv_pos_as_xyz
'x,y,z'
'-x,-y,-z'
'-x,y,-z'
'x,-y,z'
'x+1/2,y+1/2,z'
'-x+1/2,-y+1/2,-z'
'-x+1/2,y+1/2,-z'
'x+1/2,-y+1/2,z'
loop_
_atom_site_label
_atom_site_type_symbol
_atom_site_fract_x
_atom_site_fract_y
_atom_site_fract_z
Nb1 Nb 0.000 0.000 0.000
Nb2 Nb 0.191 0.000 0.600
Os1 Os 0.000 0.000 0.500
Os2 Os 0.096 0.500 0.296
Os3 Os 0.103 0.500 0.803
Os4 Os 0.202 0.000 0.097